No. 1
# PBE-GGA Sn2BrF, relaxed
# Distance to the lowest polymorph of the same formula in eV per formula unit: 1.24
# N(E_F) in states/eV/atom: 0.887
data_Sn2BrF
_space_group_name_H-M_alt 'P 1'
_space_group_IT_number 1
_space_group_name_Hall 'P 1'
_cell_length_a 5.133
_cell_length_b 5.133
_cell_length_c 5.133
_cell_angle_alpha 60.00
_cell_angle_beta 60.00
_cell_angle_gamma 60.00
loop_
_atom_site_label
_atom_site_type_symbol
_atom_site_fract_x
_atom_site_fract_y
_atom_site_fract_z
Sn1 Sn 0.250 0.250 0.250
Sn2 Sn 0.750 0.750 0.750
Br1 Br 0.500 0.500 0.500
F1 F 0.000 0.000 0.000

No. 2
# PBE-GGA SiB2Rh, relaxed
# N(E_F) in states/eV/atom: 0.455
# Electronic total energy in eV per cell: -49.26
data_SiB2Rh
_space_group_name_H-M_alt 'P 1'
_space_group_IT_number 1
_space_group_name_Hall 'P 1'
_cell_length_a 4.882
_cell_length_b 4.882
_cell_length_c 5.585
_cell_angle_alpha 64.08
_cell_angle_beta 64.08
_cell_angle_gamma 90.00
loop_
_atom_site_label
_atom_site_type_symbol
_atom_site_fract_x
_atom_site_fract_y
_atom_site_fract_z
Si1 Si 0.500 0.500 0.000
Si2 Si 0.250 0.750 0.500
B1 B 0.628 0.125 0.250
B2 B 0.122 0.625 0.250
B3 B 0.375 0.372 0.750
B4 B 0.875 0.878 0.750
Rh1 Rh 0.000 0.000 0.000
Rh2 Rh 0.750 0.250 0.500

No. 3
# PBE-GGA BiIBrO2, relaxed
# Distance to the lowest polymorph of the same formula in eV per formula unit: 4.24
# N(E_F) in states/eV/atom: 0.628
data_BiIBrO2
_space_group_name_H-M_alt 'P 1'
_space_group_IT_number 1
_space_group_name_Hall 'P 1'
_cell_length_a 4.249
_cell_length_b 4.249
_cell_length_c 6.559
_cell_angle_alpha 90.00
_cell_angle_beta 90.00
_cell_angle_gamma 90.00
loop_
_atom_site_label
_atom_site_type_symbol
_atom_site_fract_x
_atom_site_fract_y
_atom_site_fract_z
I1 I 0.000 0.000 0.500
O1 O 0.000 0.500 0.000
O2 O 0.500 0.000 0.000
Bi1 Bi 0.500 0.500 0.500
Br1 Br 0.000 0.000 0.000

No. 4
# PBE-GGA IrSe2F, relaxed
# Electronic total energy in eV per cell: -61.21
data_IrSe2F
_space_group_name_H-M_alt 'P 1'
_space_group_IT_number 1
_space_group_name_Hall 'P 1'
_cell_length_a 3.842
_cell_length_b 3.842
_cell_length_c 20.845
_cell_angle_alpha 90.00
_cell_angle_beta 90.00
_cell_angle_gamma 120.00
loop_
_atom_site_label
_atom_site_type_symbol
_atom_site_fract_x
_atom_site_fract_y
_atom_site_fract_z
Ir1 Ir 0.000 0.000 0.722
Ir2 Ir 0.333 0.667 0.389
Ir3 Ir 0.667 0.333 0.056
Se1 Se 0.000 0.000 0.992
Se2 Se 0.333 0.667 0.658
Se3 Se 0.667 0.333 0.325
Se4 Se 0.000 0.000 0.436
Se5 Se 0.333 0.667 0.103
Se6 Se 0.667 0.333 0.769
F1 F 0.000 0.000 0.524
F2 F 0.333 0.667 0.191
F3 F 0.667 0.333 0.857

No. 5
# PBE-GGA BaThIn2, relaxed
# N(E_F) in states/eV/atom: 0.876
# Electronic total energy in eV per cell: -15.15
data_BaThIn2
_space_group_name_H-M_alt 'P 1'
_space_group_IT_number 1
_space_group_name_Hall 'P 1'
_cell_length_a 3.876
_cell_length_b 3.876
_cell_length_c 10.892
_cell_angle_alpha 79.75
_cell_angle_beta 79.75
_cell_angle_gamma 60.00
loop_
_atom_site_label
_atom_site_type_symbol
_atom_site_fract_x
_atom_site_fract_y
_atom_site_fract_z
Ba1 Ba 0.500 0.500 0.500
Th1 Th 0.000 0.000 0.000
In1 In 0.745 0.745 0.765
In2 In 0.255 0.255 0.235

No. 6
# PBE-GGA Mg3SiHg, relaxed
# Distance to the lowest polymorph of the same formula in eV per formula unit: 0.00
# N(E_F) in states/eV/atom: 0.512
data_Mg3SiHg
_space_group_name_H-M_alt 'P 1'
_space_group_IT_number 1
_space_group_name_Hall 'P 1'
_cell_length_a 5.040
_cell_length_b 5.040
_cell_length_c 5.040
_cell_angle_alpha 90.00
_cell_angle_beta 90.00
_cell_angle_gamma 90.00
loop_
_atom_site_label
_atom_site_type_symbol
_atom_site_fract_x
_atom_site_fract_y
_atom_site_fract_z
Mg1 Mg 0.000 0.500 0.000
Mg2 Mg 0.000 0.000 0.500
Mg3 Mg 0.500 0.000 0.000
Si1 Si 0.000 0.000 0.000
Hg1 Hg 0.500 0.500 0.500

No. 7
# PBE-GGA MgBiSe2, relaxed
# Distance to the lowest polymorph of the same formula in eV per formula unit: 0.57
# N(E_F) in states/eV/atom: 0.538
data_MgBiSe2
_space_group_name_H-M_alt 'P 1'
_space_group_IT_number 1
_space_group_name_Hall 'P 1'
_cell_length_a 5.098
_cell_length_b 5.098
_cell_length_c 5.098
_cell_angle_alpha 60.00
_cell_angle_beta 60.00
_cell_angle_gamma 60.00
loop_
_atom_site_label
_atom_site_type_symbol
_atom_site_fract_x
_atom_site_fract_y
_atom_site_fract_z
Mg1 Mg 0.000 0.000 0.000
Bi1 Bi 0.500 0.500 0.500
Se1 Se 0.250 0.250 0.250
Se2 Se 0.750 0.750 0.750

No. 8
# PBE-GGA AgSe3Cl, relaxed
# N(E_F) in states/eV/atom: 0.736
# Electronic total energy in eV per cell: -10.79
data_AgSe3Cl
_space_group_name_H-M_alt 'P 1'
_space_group_IT_number 1
_space_group_name_Hall 'P 1'
_cell_length_a 5.015
_cell_length_b 5.015
_cell_length_c 5.015
_cell_angle_alpha 90.00
_cell_angle_beta 90.00
_cell_angle_gamma 90.00
loop_
_atom_site_label
_atom_site_type_symbol
_atom_site_fract_x
_atom_site_fract_y
_atom_site_fract_z
Se1 Se 0.000 0.500 0.000
Se2 Se 0.000 0.000 0.500
Se3 Se 0.500 0.000 0.000
Ag1 Ag 0.500 0.500 0.500
Cl1 Cl 0.000 0.000 0.000

Number 1: total moment 0.000 μB per atom. Number 2: total moment 0.000 μB per atom. Number 3: total moment 0.066 μB per atom. Number 4: total moment 0.000 μB per atom. Number 5: total moment 0.000 μB per atom. Number 6: total moment 0.000 μB per atom. Number 7: total moment 0.000 μB per atom. Number 8: total moment 0.000 μB per atom.